P.
A plane-wave DFT calculation with PBE was carried out for a geometry-optimized BiPRuAuSN structure.

Unit cell a=3.812 b=5.525 c=6.534 alpha=97.02 beta=98.59 gamma=106.89
Fractional coordinates of all 6 atoms:
Bi (0.000, 0.000, 0.000)
P (0.956, 0.589, 0.423)
Ru (0.361, 0.508, 0.228)
Au (0.849, 0.971, 0.545)
S (0.588, 0.318, 0.557)
N (0.401, 0.763, 0.060)

Q.
A plane-wave DFT calculation with PBE was carried out for a geometry-optimized BiPRuAuSN structure.

Unit cell a=3.506 b=5.096 c=6.986 alpha=106.16 beta=90.24 gamma=110.12
Fractional coordinates of all 6 atoms:
Bi (0.000, 0.000, 0.000)
P (0.162, 0.331, 0.688)
Ru (0.509, 0.026, 0.669)
Au (0.701, 0.411, 0.442)
S (0.333, 0.679, 0.320)
N (0.341, 0.685, 0.816)

R.
A plane-wave DFT calculation with PBE was carried out for a geometry-optimized BiPRuAuSN structure.

Unit cell a=3.587 b=4.609 c=6.560 alpha=82.68 beta=83.16 gamma=88.36
Fractional coordinates of all 6 atoms:
Bi (0.000, 0.000, 0.000)
P (0.547, 0.529, 0.732)
Ru (0.067, 0.827, 0.627)
Au (0.329, 0.578, 0.271)
S (0.554, 0.181, 0.525)
N (0.485, 0.338, 0.973)

Computed relative energies in units of eV/atom: P 0.218; Q 0.022; R 0.000

P.
A plane-wave DFT calculation with PBE was carried out for a geometry-optimized BiPRuAuSN structure.

Unit cell a=4.701 b=3.681 c=7.207 alpha=90.00 beta=108.17 gamma=90.00
Fractional coordinates of all 6 atoms:
Bi (0.000, 0.000, 0.000)
P (0.385, 0.500, 0.737)
Ru (0.606, 0.000, 0.652)
Au (0.645, 0.500, 0.221)
S (0.873, 0.500, 0.553)
N (0.300, 0.500, 0.952)

Q.
A plane-wave DFT calculation with PBE was carried out for a geometry-optimized BiPRuAuSN structure.

Unit cell a=3.834 b=4.514 c=8.016 alpha=99.50 beta=90.98 gamma=113.30
Fractional coordinates of all 6 atoms:
Bi (0.000, 0.000, 0.000)
P (0.474, 0.956, 0.681)
Ru (0.117, 0.255, 0.695)
Au (0.009, 0.680, 0.449)
S (0.716, 0.418, 0.172)
N (0.374, 0.700, 0.824)

R.
A plane-wave DFT calculation with PBE was carried out for a geometry-optimized BiPRuAuSN structure.

Unit cell a=5.409 b=3.296 c=6.342 alpha=90.00 beta=91.06 gamma=90.00
Fractional coordinates of all 6 atoms:
Bi (0.000, 0.000, 0.000)
P (0.413, 0.500, 0.336)
Ru (0.439, 0.000, 0.573)
Au (0.529, 0.500, 0.965)
S (0.854, 0.000, 0.478)
N (0.076, 0.000, 0.647)

Computed relative energies in units of eV/atom: P 0.000; Q 0.021; R 0.149

P.
A plane-wave DFT calculation with PBE was carried out for a geometry-optimized BiPRuAuSN structure.

Unit cell a=3.712 b=5.290 c=6.222 alpha=89.23 beta=88.20 gamma=73.74
Fractional coordinates of all 6 atoms:
Bi (0.000, 0.000, 0.000)
P (0.804, 0.601, 0.481)
Ru (0.314, 0.572, 0.269)
Au (0.726, 0.562, 0.865)
S (0.365, 0.971, 0.422)
N (0.450, 0.164, 0.216)

Q.
A plane-wave DFT calculation with PBE was carried out for a geometry-optimized BiPRuAuSN structure.

Unit cell a=3.682 b=4.639 c=7.131 alpha=106.78 beta=99.27 gamma=102.51
Fractional coordinates of all 6 atoms:
Bi (0.000, 0.000, 0.000)
P (0.788, 0.656, 0.315)
Ru (0.396, 0.962, 0.369)
Au (0.197, 0.574, 0.588)
S (0.672, 0.311, 0.713)
N (0.616, 0.267, 0.193)

Computed relative energies in units of eV/atom: P 0.091; Q 0.000

P.
A plane-wave DFT calculation with PBE was carried out for a geometry-optimized BiPAuSN structure.

Unit cell a=3.973 b=4.698 c=6.251 alpha=108.97 beta=92.55 gamma=102.91
Fractional coordinates of all 5 atoms:
Bi (0.000, 0.000, 0.000)
P (0.548, 0.112, 0.586)
Au (0.119, 0.444, 0.669)
S (0.483, 0.781, 0.250)
N (0.491, 0.913, 0.764)

Q.
A plane-wave DFT calculation with PBE was carried out for a geometry-optimized BiPAuSN structure.

Unit cell a=4.944 b=4.944 c=7.856 alpha=121.49 beta=121.49 gamma=43.78
Fractional coordinates of all 5 atoms:
Bi (0.000, 0.000, 0.000)
P (0.112, 0.112, 0.722)
Au (0.473, 0.473, 0.486)
S (0.822, 0.822, 0.231)
N (0.325, 0.325, 0.828)

Computed relative energies in units of eV/atom: P 0.045; Q 0.000

P.
A plane-wave DFT calculation with PBE was carried out for a geometry-optimized BiPAuSN structure.

Unit cell a=8.341 b=8.341 c=8.341 alpha=27.06 beta=27.06 gamma=27.06
Fractional coordinates of all 5 atoms:
Bi (0.000, 0.000, 0.000)
P (0.215, 0.215, 0.215)
Au (0.842, 0.842, 0.842)
S (0.734, 0.734, 0.734)
N (0.282, 0.282, 0.282)

Q.
A plane-wave DFT calculation with PBE was carried out for a geometry-optimized BiPAuSN structure.

Unit cell a=3.840 b=3.840 c=8.068 alpha=102.28 beta=102.28 gamma=58.91
Fractional coordinates of all 5 atoms:
Bi (0.000, 0.000, 0.000)
P (0.789, 0.789, 0.388)
Au (0.159, 0.159, 0.521)
S (0.606, 0.606, 0.771)
N (0.731, 0.731, 0.183)

R.
A plane-wave DFT calculation with PBE was carried out for a geometry-optimized BiPAuSN structure.

Unit cell a=4.205 b=5.304 c=5.513 alpha=102.02 beta=90.02 gamma=90.20
Fractional coordinates of all 5 atoms:
Bi (0.000, 0.000, 0.000)
P (0.999, 0.637, 0.426)
Au (0.500, 0.807, 0.647)
S (0.996, 0.260, 0.478)
N (0.999, 0.641, 0.138)

S.
A plane-wave DFT calculation with PBE was carried out for a geometry-optimized BiPAuSN structure.

Unit cell a=4.829 b=4.888 c=4.933 alpha=76.64 beta=68.26 gamma=88.59
Fractional coordinates of all 5 atoms:
Bi (0.000, 0.000, 0.000)
P (0.327, 0.396, 0.144)
Au (0.755, 0.544, 0.708)
S (0.493, 0.144, 0.462)
N (0.138, 0.642, 0.295)

Computed relative energies in units of eV/atom: P 0.000; Q 0.058; R 0.091; S 0.052

P.
A plane-wave DFT calculation with PBE was carried out for a geometry-optimized BiPAuSN structure.

Unit cell a=5.521 b=5.521 c=5.920 alpha=94.44 beta=94.44 gamma=31.23
Fractional coordinates of all 5 atoms:
Bi (0.000, 0.000, 0.000)
P (0.717, 0.717, 0.565)
Au (0.496, 0.496, 0.499)
S (0.750, 0.750, 0.926)
N (0.286, 0.286, 0.480)

Q.
A plane-wave DFT calculation with PBE was carried out for a geometry-optimized BiPAuSN structure.

Unit cell a=5.773 b=2.974 c=5.953 alpha=90.00 beta=113.00 gamma=90.00
Fractional coordinates of all 5 atoms:
Bi (0.000, 0.000, 0.000)
P (0.573, 0.500, 0.364)
Au (0.015, 0.500, 0.503)
S (0.474, 0.500, 0.669)
N (0.446, 0.000, 0.206)

Computed relative energies in units of eV/atom: P 0.026; Q 0.000

P.
A plane-wave DFT calculation with PBE was carried out for a geometry-optimized BiPAuSN structure.

Unit cell a=3.242 b=5.349 c=6.389 alpha=68.25 beta=89.68 gamma=89.82
Fractional coordinates of all 5 atoms:
Bi (0.000, 0.000, 0.000)
P (0.006, 0.265, 0.484)
Au (0.005, 0.800, 0.611)
S (0.508, 0.448, 0.233)
N (0.004, 0.384, 0.680)

Q.
A plane-wave DFT calculation with PBE was carried out for a geometry-optimized BiPAuSN structure.

Unit cell a=5.219 b=5.219 c=6.482 alpha=105.36 beta=105.36 gamma=39.32
Fractional coordinates of all 5 atoms:
Bi (0.000, 0.000, 0.000)
P (0.065, 0.065, 0.494)
Au (0.390, 0.390, 0.427)
S (0.206, 0.206, 0.803)
N (0.161, 0.161, 0.328)

R.
A plane-wave DFT calculation with PBE was carried out for a geometry-optimized BiPAuSN structure.

Unit cell a=5.686 b=5.686 c=5.752 alpha=103.01 beta=103.01 gamma=40.47
Fractional coordinates of all 5 atoms:
Bi (0.000, 0.000, 0.000)
P (0.194, 0.194, 0.622)
Au (0.606, 0.606, 0.376)
S (0.389, 0.389, 0.617)
N (0.179, 0.179, 0.890)

Computed relative energies in units of eV/atom: P 0.039; Q 0.020; R 0.000

P.
A plane-wave DFT calculation with PBE was carried out for a geometry-optimized BiPAuSN structure.

Unit cell a=4.811 b=4.811 c=7.085 alpha=90.19 beta=90.19 gamma=45.42
Fractional coordinates of all 5 atoms:
Bi (0.000, 0.000, 0.000)
P (0.245, 0.245, 0.276)
Au (0.711, 0.711, 0.489)
S (0.694, 0.694, 0.825)
N (0.408, 0.408, 0.179)

Q.
A plane-wave DFT calculation with PBE was carried out for a geometry-optimized BiPAuSN structure.

Unit cell a=6.844 b=6.844 c=4.851 alpha=102.89 beta=102.89 gamma=30.78
Fractional coordinates of all 5 atoms:
Bi (0.000, 0.000, 0.000)
P (0.391, 0.391, 0.466)
Au (0.768, 0.768, 0.467)
S (0.146, 0.146, 0.504)
N (0.423, 0.423, 0.156)

Computed relative energies in units of eV/atom: P 0.000; Q 0.016

P.
A plane-wave DFT calculation with PBE was carried out for a geometry-optimized BiPAuSN structure.

Unit cell a=3.893 b=3.893 c=8.054 alpha=89.93 beta=89.85 gamma=60.01
Fractional coordinates of all 5 atoms:
Bi (0.000, 0.000, 0.000)
P (0.336, 0.333, 0.642)
Au (0.671, 0.667, 0.523)
S (0.666, 0.667, 0.203)
N (0.335, 0.333, 0.842)

Q.
A plane-wave DFT calculation with PBE was carried out for a geometry-optimized BiPAuSN structure.

Unit cell a=3.933 b=4.932 c=6.580 alpha=85.15 beta=79.75 gamma=84.82
Fractional coordinates of all 5 atoms:
Bi (0.000, 0.000, 0.000)
P (0.831, 0.560, 0.698)
Au (0.473, 0.697, 0.217)
S (0.956, 0.445, 0.382)
N (0.108, 0.765, 0.719)

Computed relative energies in units of eV/atom: P 0.000; Q 0.140

P.
A plane-wave DFT calculation with PBE was carried out for a geometry-optimized BiPAuSN structure.

Unit cell a=4.732 b=4.990 c=5.642 alpha=69.26 beta=65.23 gamma=89.63
Fractional coordinates of all 5 atoms:
Bi (0.000, 0.000, 0.000)
P (0.640, 0.697, 0.837)
Au (0.977, 0.509, 0.514)
S (0.349, 0.320, 0.195)
N (0.467, 0.953, 0.726)

Q.
A plane-wave DFT calculation with PBE was carried out for a geometry-optimized BiPAuSN structure.

Unit cell a=4.784 b=3.767 c=5.819 alpha=90.00 beta=108.96 gamma=90.00
Fractional coordinates of all 5 atoms:
Bi (0.000, 0.000, 0.000)
P (0.769, 0.500, 0.399)
Au (0.511, 0.000, 0.502)
S (0.206, 0.500, 0.668)
N (0.788, 0.500, 0.127)

R.
A plane-wave DFT calculation with PBE was carried out for a geometry-optimized BiPAuSN structure.

Unit cell a=8.563 b=8.563 c=8.563 alpha=25.84 beta=25.84 gamma=25.84
Fractional coordinates of all 5 atoms:
Bi (0.000, 0.000, 0.000)
P (0.545, 0.545, 0.545)
Au (0.836, 0.836, 0.836)
S (0.735, 0.735, 0.735)
N (0.610, 0.610, 0.610)

Computed relative energies in units of eV/atom: P 0.064; Q 0.000; R 0.013